Computed, not measured: an optimized crystal structure of SI2BrO at the PBEsol level of DFT.

Summary:
- theoretical density (g/cm³) = 5.11
- ΔE_f (raw) (eV/atom) = 0.85

Geometry as POSCAR:
```
SI2BrO
1.0
-2.5374 0.9937 2.6192
-1.1658 -5.5274 0.9675
4.0847 -0.1584 4.0172
S Br I O
1 1 2 1
Direct
0.5000 0.5000 0.5000
0.0000 0.0000 0.0000
0.0000 0.0000 0.5000
0.0000 0.5000 0.0000
0.5000 0.0000 0.0000
```



Computed, not measured: an optimized crystal structure of SeIBrO2 at the PBEsol level of DFT.

Summary:
- theoretical density (g/cm³) = 5.35
- ΔE_f (raw) (eV/atom) = 0.13

Geometry as POSCAR:
```
SeIBrO2
1.0
-3.4008 -1.9015 -0.7339
1.6388 -3.3998 1.2146
-1.9163 1.1677 5.8543
O I Br Se
2 1 1 1
Direct
0.0000 0.5000 0.0000
0.5000 0.0000 0.0000
0.0000 0.0000 0.5000
0.5000 0.5000 0.5000
0.0000 0.0000 0.0000
```



Computed, not measured: an optimized crystal structure of TaI2BrO at the PBEsol level of DFT.

Summary:
- theoretical density (g/cm³) = 7.12
- ΔE_f (raw) (eV/atom) = 1.17

Geometry as POSCAR:
```
TaI2BrO
1.0
3.6737 0.0000 0.0000
0.0000 5.8036 0.0000
0.0000 0.0000 5.8036
I Br O Ta
2 1 1 1
Direct
0.0000 0.5000 0.0000
0.0000 0.0000 0.5000
0.0000 0.0000 0.0000
0.5000 0.0000 0.0000
0.5000 0.5000 0.5000
```



Computed, not measured: an optimized crystal structure of TiI2BrO at the PBEsol level of DFT.

Summary:
- theoretical density (g/cm³) = 5.61
- ΔE_f (raw) (eV/atom) = -0.91

Geometry as POSCAR:
```
TiI2BrO
1.0
-2.4396 1.0947 -2.5636
-4.1487 -0.3567 3.7957
0.8748 5.3709 1.4610
I Br O Ti
2 1 1 1
Direct
0.0000 0.5000 0.0000
0.0000 0.0000 0.5000
0.5000 0.5000 0.5000
0.5000 0.0000 0.0000
0.0000 0.0000 0.0000
```



Computed, not measured: an optimized crystal structure of TlI2BrO at the PBEsol level of DFT.

Summary:
- theoretical density (g/cm³) = 6.45
- ΔE_f (raw) (eV/atom) = 0.12

Geometry as POSCAR:
```
TlI2BrO
1.0
3.9892 0.0000 0.0000
0.0000 5.9780 0.0000
0.0000 0.0000 5.9780
Tl Br I O
1 1 2 1
Direct
0.5000 0.5000 0.5000
0.0000 0.0000 0.0000
0.0000 0.5000 0.0000
0.0000 0.0000 0.5000
0.5000 0.0000 0.0000
```



Computed, not measured: an optimized crystal structure of YI2BrO at the PBEsol level of DFT.

Summary:
- theoretical density (g/cm³) = 4.75
- ΔE_f (raw) (eV/atom) = -1.01

Geometry as POSCAR:
```
YI2BrO
1.0
4.0812 0.0000 0.0000
0.0000 6.1300 0.0000
0.0000 0.0000 6.1300
I Y O Br
2 1 1 1
Direct
0.0000 0.5000 0.0000
0.0000 0.0000 0.5000
0.0000 0.0000 0.0000
0.5000 0.0000 0.0000
0.5000 0.5000 0.5000
```



Computed, not measured: an optimized crystal structure of OsI2Br at the PBEsol level of DFT.

Summary:
- theoretical density (g/cm³) = 10.00
- ΔE_f (raw) (eV/atom) = 1.19

Geometry as POSCAR:
```
OsI2Br
1.0
-1.5588 -4.3159 1.9185
3.3101 -3.3561 1.5865
0.5064 -0.8847 4.8681
Br I Os
1 2 1
Direct
0.0000 0.0000 0.0000
0.2500 0.2500 0.2500
0.7500 0.7500 0.7500
0.5000 0.5000 0.5000
```



Computed, not measured: an optimized crystal structure of SbOsI2Br at the PBEsol level of DFT.

Summary:
- theoretical density (g/cm³) = 6.12
- ΔE_f (raw) (eV/atom) = 2.01

Geometry as POSCAR:
```
SbOsI2Br
1.0
-1.7404 5.3763 0.1163
-2.7763 -0.7936 -4.8590
-4.4695 -1.5074 2.7999
Os I Br Sb
1 2 1 1
Direct
0.5000 0.5000 0.5000
0.5000 0.0000 0.0000
0.0000 0.5000 0.0000
0.0000 0.0000 0.0000
0.0000 0.0000 0.5000
```